# Sr12InAu6

Sr12InAu6 after structural relaxation (PBE-GGA, the Alexandria database).

Cell: 9.6699 9.6699 9.6699 Å, 109.47 109.47 109.47°
Last column: nearest neighbours and their distance in Å.
Positions (direct):
Au 0.5000 0.1283 0.6283  1 Au 2.87, 2 Sr 3.10
Au 0.8717 0.3717 0.5000  1 Au 2.87, 2 Sr 3.10
Au 0.1283 0.6283 0.5000  1 Au 2.87, 2 Sr 3.10
Au 0.6283 0.5000 0.1283  1 Au 2.87, 2 Sr 3.10
Au 0.5000 0.8717 0.3717  1 Au 2.87, 2 Sr 3.10
Au 0.3717 0.5000 0.8717  1 Au 2.87, 2 Sr 3.10
Sr 0.4789 0.1782 0.3007  3 Au 3.10-3.31
Sr 0.6993 0.8775 0.1782  3 Au 3.10-3.31
Sr 0.6993 0.5211 0.8218  3 Au 3.10-3.31
Sr 0.5211 0.8218 0.6993  3 Au 3.10-3.31
Sr 0.3007 0.4789 0.1782  3 Au 3.10-3.31
Sr 0.8775 0.1782 0.6993  3 Au 3.10-3.31
Sr 0.1782 0.6993 0.8775  3 Au 3.10-3.31
Sr 0.8218 0.3007 0.1225  3 Au 3.10-3.31
Sr 0.3007 0.1225 0.8218  3 Au 3.10-3.31
Sr 0.1782 0.3007 0.4789  3 Au 3.10-3.31
Sr 0.1225 0.8218 0.3007  3 Au 3.10-3.31
Sr 0.8218 0.6993 0.5211  3 Au 3.10-3.31
In 0.0000 0.0000 0.0000  12 Sr 3.90

**Space-group type**: No. 204
**Energy**: -2.7776 eV/atom
**Energy of formation**: -536 meV per atom